Model a:
Compound: La2ZrTl
Source: the Alexandria database
Functional: PBE
Structure: optimized geometry Values from VASP.

The structure in Quantum ESPRESSO input format:
```
&SYSTEM
  ibrav = 0, nat = 4, ntyp = 3
/
ATOMIC_SPECIES
La 138.91 La.upf
Zr 91.22 Zr.upf
Tl 204.38 Tl.upf
ATOMIC_POSITIONS crystal
La 0.0000 0.0000 0.0000
La 0.5000 0.5000 0.3065
Zr 0.5000 0.5000 0.7563
Tl 0.0000 0.0000 0.5534
CELL_PARAMETERS angstrom
3.5562 0.0000 0.0000
0.0000 3.5562 0.0000
0.0000 0.0000 9.3913
```

Summary:
* space group: P4mm
* DOS(E_F): 0.812 states/eV/atom


Model b:
Compound: La2ZrTl
Source: the Alexandria database
Functional: PBE
Structure: optimized geometry Values from VASP.

The structure in Quantum ESPRESSO input format:
```
&SYSTEM
  ibrav = 0, nat = 4, ntyp = 3
/
ATOMIC_SPECIES
La 138.91 La.upf
Zr 91.22 Zr.upf
Tl 204.38 Tl.upf
ATOMIC_POSITIONS crystal
La 0.0000 0.5000 0.0000
La 0.5000 0.0000 0.0000
Zr 0.0000 0.0000 0.5000
Tl 0.5000 0.5000 0.5000
CELL_PARAMETERS angstrom
4.7957 0.0000 0.0000
0.0000 4.7957 0.0000
0.0000 0.0000 4.9907
```

Summary:
* space group: P4/mmm
* DOS(E_F): 1.335 states/eV/atom


Model c:
Compound: La2ZrTl
Source: the Alexandria database
Functional: PBE
Structure: optimized geometry Values from VASP.

The structure in Quantum ESPRESSO input format:
```
&SYSTEM
  ibrav = 0, nat = 4, ntyp = 3
/
ATOMIC_SPECIES
La 138.91 La.upf
Zr 91.22 Zr.upf
Tl 204.38 Tl.upf
ATOMIC_POSITIONS crystal
La 0.0000 0.5000 0.0000
La 0.5000 0.0000 0.0000
Zr 0.0000 0.0000 0.5000
Tl 0.5000 0.5000 0.5000
CELL_PARAMETERS angstrom
3.4498 -4.8839 0.0000
3.4498 4.8839 0.0000
0.0000 0.0000 3.4616
```

Summary:
* space group: Cmmm
* DOS(E_F): 1.602 states/eV/atom


Model d:
Compound: La2ZrTl
Source: the Alexandria database
Functional: PBE
Structure: optimized geometry Values from VASP.

The structure in Quantum ESPRESSO input format:
```
&SYSTEM
  ibrav = 0, nat = 4, ntyp = 3
/
ATOMIC_SPECIES
La 138.91 La.upf
Zr 91.22 Zr.upf
Tl 204.38 Tl.upf
ATOMIC_POSITIONS crystal
La 0.0000 0.0000 0.2478
La 0.0000 0.0000 0.7522
Zr 0.5000 0.5000 0.0000
Tl 0.5000 0.5000 0.5000
CELL_PARAMETERS angstrom
4.1994 0.0000 0.0000
0.0000 4.1994 0.0000
0.0000 0.0000 6.8426
```

Summary:
* space group: P4/mmm
* DOS(E_F): 1.276 states/eV/atom


How do the energies compare? Relative to the most stable structure, in meV per atom: model a 27; model b 0; model c 21; model d 72.


Model a:
Compound: La2ZrTl
Source: the Alexandria database
Functional: PBE
Structure: optimized geometry Values from VASP.

The structure in Quantum ESPRESSO input format:
```
&SYSTEM
  ibrav = 0, nat = 8, ntyp = 3
/
ATOMIC_SPECIES
La 138.91 La.upf
Zr 91.22 Zr.upf
Tl 204.38 Tl.upf
ATOMIC_POSITIONS crystal
La 0.1242 0.6250 0.9992
La 0.3750 0.3742 0.4992
La 0.6258 0.1250 0.0008
La 0.8750 0.8758 0.5008
Zr 0.2500 0.7500 0.5000
Zr 0.5000 0.5000 0.0000
Tl 0.0000 0.0000 0.0000
Tl 0.7500 0.2500 0.5000
CELL_PARAMETERS angstrom
-4.3954 4.3954 3.1699
4.3954 -4.3954 3.1699
4.3954 4.3954 -3.1699
```

Summary:
* space group: I-42d
* DOS(E_F): 1.396 states/eV/atom


Model b:
Compound: La2ZrTl
Source: the Alexandria database
Functional: PBE
Structure: optimized geometry Values from VASP.

The structure in Quantum ESPRESSO input format:
```
&SYSTEM
  ibrav = 0, nat = 4, ntyp = 3
/
ATOMIC_SPECIES
La 138.91 La.upf
Zr 91.22 Zr.upf
Tl 204.38 Tl.upf
ATOMIC_POSITIONS crystal
La 0.0000 0.0000 0.0000
La 0.7100 0.2100 0.5000
Zr 0.2575 0.7575 0.5000
Tl 0.4600 0.4600 0.0000
CELL_PARAMETERS angstrom
-1.8251 2.8057 5.9611
1.8251 -2.8057 5.9611
1.8251 2.8057 -5.9611
```

Summary:
* space group: Imm2
* DOS(E_F): 1.043 states/eV/atom


Model c:
Compound: La2ZrTl
Source: the Alexandria database
Functional: PBE
Structure: optimized geometry Values from VASP.

The structure in Quantum ESPRESSO input format:
```
&SYSTEM
  ibrav = 0, nat = 4, ntyp = 3
/
ATOMIC_SPECIES
La 138.91 La.upf
Zr 91.22 Zr.upf
Tl 204.38 Tl.upf
ATOMIC_POSITIONS crystal
La 0.2500 0.7500 0.5000
La 0.7500 0.2500 0.5000
Zr 0.0000 0.0000 0.0000
Tl 0.5000 0.5000 0.0000
CELL_PARAMETERS angstrom
-2.4064 2.4064 5.0257
2.4064 -2.4064 5.0257
2.4064 2.4064 -5.0257
```

Summary:
* space group: I4/mmm
* DOS(E_F): 1.497 states/eV/atom


Model d:
Compound: La2ZrTl
Source: the Alexandria database
Functional: PBE
Structure: optimized geometry Values from VASP.

The structure in Quantum ESPRESSO input format:
```
&SYSTEM
  ibrav = 0, nat = 4, ntyp = 3
/
ATOMIC_SPECIES
La 138.91 La.upf
Zr 91.22 Zr.upf
Tl 204.38 Tl.upf
ATOMIC_POSITIONS crystal
La 0.0000 0.0000 0.0000
La 0.2500 0.2500 0.2500
Zr 0.7500 0.7500 0.7500
Tl 0.5000 0.5000 0.5000
CELL_PARAMETERS angstrom
0.0000 3.8413 3.8413
3.8413 0.0000 3.8413
3.8413 3.8413 0.0000
```

Summary:
* space group: F-43m
* DOS(E_F): 1.898 states/eV/atom


How do the energies compare? Relative to the most stable structure, in meV per atom: model a 293; model b 0; model c 15; model d 103.


Model a:
Compound: La2ZrTl
Source: the Alexandria database
Functional: PBE
Structure: optimized geometry Values from VASP.

The structure in Quantum ESPRESSO input format:
```
&SYSTEM
  ibrav = 0, nat = 4, ntyp = 3
/
ATOMIC_SPECIES
La 138.91 La.upf
Zr 91.22 Zr.upf
Tl 204.38 Tl.upf
ATOMIC_POSITIONS crystal
La 0.0000 0.0000 0.0000
La 0.5000 0.5000 0.0000
Zr 0.0000 0.5000 0.5000
Tl 0.5000 0.0000 0.5000
CELL_PARAMETERS angstrom
3.5670 0.0000 0.0000
0.0000 5.5623 0.0000
0.0000 0.0000 5.6942
```

Summary:
* space group: Pmmm
* DOS(E_F): 1.042 states/eV/atom


Model b:
Compound: La2ZrTl
Source: the Alexandria database
Functional: PBE
Structure: optimized geometry Values from VASP.

The structure in Quantum ESPRESSO input format:
```
&SYSTEM
  ibrav = 0, nat = 4, ntyp = 3
/
ATOMIC_SPECIES
La 138.91 La.upf
Zr 91.22 Zr.upf
Tl 204.38 Tl.upf
ATOMIC_POSITIONS crystal
La 0.2474 0.2474 0.2474
La 0.7526 0.7526 0.7526
Zr 0.5000 0.5000 0.5000
Tl 0.0000 0.0000 0.0000
CELL_PARAMETERS angstrom
1.7610 1.0167 11.3844
-1.7610 1.0167 11.3844
0.0000 -2.0334 11.3844
```

Summary:
* space group: R-3m
* DOS(E_F): 1.171 states/eV/atom


How do the energies compare? Relative to the most stable structure, in meV per atom: model a 14; model b 0.


Model a:
Compound: La2ZrTl
Source: the Alexandria database
Functional: PBE
Structure: optimized geometry Values from VASP.

The structure in Quantum ESPRESSO input format:
```
&SYSTEM
  ibrav = 0, nat = 4, ntyp = 3
/
ATOMIC_SPECIES
La 138.91 La.upf
Zr 91.22 Zr.upf
Tl 204.38 Tl.upf
ATOMIC_POSITIONS crystal
La 0.2272 0.0000 0.2585
La 0.7728 0.0000 0.7415
Zr 0.0000 0.5000 0.5000
Tl 0.5000 0.5000 0.0000
CELL_PARAMETERS angstrom
3.4023 0.0000 0.0000
0.0000 5.6085 0.0000
-0.8285 0.0000 6.0362
```

Summary:
* space group: P2/m
* DOS(E_F): 1.289 states/eV/atom


Model b:
Compound: La2ZrTl
Source: the Alexandria database
Functional: PBE
Structure: optimized geometry Values from VASP.

The structure in Quantum ESPRESSO input format:
```
&SYSTEM
  ibrav = 0, nat = 4, ntyp = 3
/
ATOMIC_SPECIES
La 138.91 La.upf
Zr 91.22 Zr.upf
Tl 204.38 Tl.upf
ATOMIC_POSITIONS crystal
La 0.0000 0.5000 0.0000
La 0.5000 0.0000 0.0000
Zr 0.0000 0.0000 0.5000
Tl 0.5000 0.5000 0.5000
CELL_PARAMETERS angstrom
5.8158 0.0000 0.0000
0.0000 5.8158 0.0000
0.0000 0.0000 3.5558
```

Summary:
* space group: P4/mmm
* DOS(E_F): 1.439 states/eV/atom


Model c:
Compound: La2ZrTl
Source: the Alexandria database
Functional: PBE
Structure: optimized geometry Values from VASP.

The structure in Quantum ESPRESSO input format:
```
&SYSTEM
  ibrav = 0, nat = 4, ntyp = 3
/
ATOMIC_SPECIES
La 138.91 La.upf
Zr 91.22 Zr.upf
Tl 204.38 Tl.upf
ATOMIC_POSITIONS crystal
La 0.0000 0.0000 0.0000
La 0.7500 0.2500 0.5000
Zr 0.5000 0.5000 0.0000
Tl 0.2500 0.7500 0.5000
CELL_PARAMETERS angstrom
-2.4142 2.4142 4.9361
2.4142 -2.4142 4.9361
2.4142 2.4142 -4.9361
```

Summary:
* space group: I-4m2
* DOS(E_F): 1.434 states/eV/atom


How do the energies compare? Relative to the most stable structure, in meV per atom: model a 139; model b 28; model c 0.